AcPtPb3 | Alexandria | PBE | relaxed; final energy = -47.19 eV per cell; D(E_F) = 4.7 states/eV per cell; DFT formation energy = -44.8 kJ/mol of atoms
1.0
-4.3646 -1.2623 5.2434
2.4263 -5.8081 0.4365
4.5836 2.2421 4.3551
Pb Ac Pt
6 2 2
Cartesian
1.0501 -5.0545 6.6280
-1.2101 -6.1601 4.4804
3.8554 1.3316 5.5546
-1.6377 -3.1994 5.9540
4.2830 -1.6290 4.0810
1.5952 0.2260 3.4070
1.0872 -3.6295 3.3076
1.5581 -1.1989 6.7274
3.4246 -3.4786 5.9366
-0.7793 -1.3499 4.0984